Entry 1:
Tl2CuIrF6 | the Alexandria database | PBE | optimized geometry; E_form (uncorrected) = -1.4641 eV per atom; size of the total moment = 0.018 μB per atom
1.0
-2.962 2.962 4.435
2.962 -2.962 4.435
2.962 2.962 -4.435
Tl Cu Ir F
2 1 1 6
direct
0.250 0.750 0.500 Tl
0.750 0.250 0.500 Tl
0.000 0.000 0.000 Cu
0.500 0.500 0.000 Ir
0.251 0.251 0.502 F
0.251 0.749 0.000 F
0.266 0.266 0.000 F
0.734 0.734 0.000 F
0.749 0.251 0.000 F
0.749 0.749 0.498 F

=====

Entry 2:
Ag2Se | the Alexandria database | PBE | optimized geometry; E_form (uncorrected) = 0.0351 eV per atom; size of the total moment = 0.000 μB per atom
1.0
-1.863 1.863 4.238
1.863 -1.863 4.238
1.863 1.863 -4.238
Ag Se
2 1
direct
0.167 0.167 0.000 Ag
0.833 0.833 0.000 Ag
0.500 0.500 0.000 Se

=====

Entry 3:
Ac4SmEu | the Alexandria database | PBE | optimized geometry; size of the total moment = 1.214 μB per atom; energy of formation from the pure elements = 282.7 meV per atom
1.0
0.000 5.156 5.156
5.156 0.000 5.156
5.156 5.156 0.000
Ac Sm Eu
4 1 1
direct
0.376 0.376 0.376 Ac
0.376 0.376 0.872 Ac
0.376 0.872 0.376 Ac
0.872 0.376 0.376 Ac
0.750 0.750 0.750 Sm
0.000 0.000 0.000 Eu

=====

Entry 4:
CaMoP4 | the Alexandria database | PBE | optimized geometry; size of the total moment = 0.000 μB per atom; energy of formation from the pure elements = 427.4 meV per atom
1.0
0.000 3.658 3.658
3.658 0.000 3.658
3.658 3.658 0.000
Ca Mo P
1 1 4
direct
0.000 0.000 0.000 Ca
0.750 0.750 0.750 Mo
0.379 0.379 0.379 P
0.379 0.379 0.862 P
0.379 0.862 0.379 P
0.862 0.379 0.379 P

=====

Entry 5:
Rb2SiBiS4 | the Alexandria database | PBE | optimized geometry; E_form (uncorrected) = -0.7870 eV per atom; size of the total moment = 0.126 μB per atom
1.0
-3.904 3.904 4.047
3.904 -3.904 4.047
3.904 3.904 -4.047
Rb Si Bi S
2 1 1 4
direct
0.000 0.000 0.000 Rb
0.750 0.250 0.500 Rb
0.500 0.500 0.000 Si
0.250 0.750 0.500 Bi
0.211 0.171 0.678 S
0.467 0.789 0.960 S
0.494 0.533 0.322 S
0.829 0.506 0.040 S

=====

Entry 6:
SrLa2ZnCo | the Alexandria database | PBE | optimized geometry; size of the total moment = 0.000 μB per atom; energy of formation from the pure elements = -34.9 meV per atom
1.0
5.362 0.000 0.000
0.000 5.362 0.000
0.000 0.000 5.098
Sr La Zn Co
1 2 1 1
direct
0.000 0.000 0.000 Sr
0.000 0.500 0.500 La
0.500 0.000 0.500 La
0.500 0.500 0.000 Zn
0.500 0.500 0.500 Co

=====

Entry 7:
InTcCl2 | the Alexandria database | PBE | optimized geometry; E_form (uncorrected) = -0.1908 eV per atom; size of the total moment = 0.212 μB per atom
1.0
5.203 -1.576 0.000
5.203 1.576 0.000
-2.780 0.000 6.357
In Tc Cl
1 1 2
direct
0.000 0.000 0.000 In
0.269 0.269 0.000 Tc
0.677 0.677 0.709 Cl
0.834 0.834 0.292 Cl

=====

Entry 8:
Hg2GeBAu | the Alexandria database | PBE | optimized geometry; size of the total moment = 0.000 μB per atom; energy of formation from the pure elements = 1207.1 meV per atom
1.0
5.282 0.000 0.000
0.000 5.282 0.000
0.000 0.000 4.873
Hg Ge B Au
2 1 1 1
direct
0.000 0.500 0.000 Hg
0.500 0.000 0.000 Hg
0.000 0.000 0.000 Ge
0.500 0.500 0.500 B
0.000 0.000 0.500 Au

=====

Entry 9:
Pm7SmTl2 | the Alexandria database | PBE | optimized geometry; size of the total moment = 0.000 μB per atom; energy of formation from the pure elements = 336.5 meV per atom
1.0
4.678 -7.982 0.000
4.678 7.982 0.000
0.000 0.000 5.425
Pm Sm Tl
7 1 2
direct
0.000 0.000 0.000 Pm
0.198 0.438 0.000 Pm
0.275 0.725 0.500 Pm
0.438 0.198 0.000 Pm
0.562 0.802 0.000 Pm
0.725 0.275 0.500 Pm
0.802 0.562 0.000 Pm
0.500 0.500 0.500 Sm
0.194 0.806 0.000 Tl
0.806 0.194 0.000 Tl

=====

Entry 10:
ZnCo2Ir | the Alexandria database | PBE | optimized geometry; size of the total moment = 0.968 μB per atom; energy of formation from the pure elements = 50.4 meV per atom
1.0
-1.456 2.076 4.205
1.456 -2.076 4.205
1.456 2.076 -4.205
Zn Co Ir
1 2 1
direct
0.000 0.000 0.000 Zn
0.246 0.746 0.500 Co
0.754 0.254 0.500 Co
0.500 0.500 0.000 Ir

=====

Entry 11:
YTlZn2 | the Alexandria database | PBE | optimized geometry; size of the total moment = 0.000 μB per atom; energy of formation from the pure elements = -147.9 meV per atom
1.0
3.435 0.000 0.000
0.000 4.673 0.000
-0.004 0.000 5.664
Y Tl Zn
1 1 2
direct
0.000 0.000 0.000 Y
0.500 0.000 0.500 Tl
0.497 0.500 0.776 Zn
0.503 0.500 0.224 Zn

=====

Entry 12:
Ac6TlSn2 | the Alexandria database | PBE | optimized geometry; size of the total moment = 0.000 μB per atom; energy of formation from the pure elements = -420.2 meV per atom
1.0
9.095 0.000 0.000
-4.548 7.877 0.000
0.000 0.000 4.820
Ac Tl Sn
6 1 2
direct
0.000 0.265 0.000 Ac
0.000 0.588 0.500 Ac
0.265 0.000 0.000 Ac
0.412 0.412 0.500 Ac
0.588 0.000 0.500 Ac
0.735 0.735 0.000 Ac
0.000 0.000 0.500 Tl
0.333 0.667 0.000 Sn
0.667 0.333 0.000 Sn